No. 1
The following is a PBE calculation of a geometry-optimized Fe2PbSe structure, from the Alexandria database.

Values from the calculation:
E_form (uncorrected)   0.70 eV/atom
Space group   F-43m
Crystal system   cubic
Total DFT energy (no corrections)   -5.3266 eV per atom

abc: 4.717 4.717 4.717
angles: 60.00 60.00 60.00
Fractional coordinates of all 4 atoms:
Fe  0.000  0.000  0.000
Fe  0.250  0.250  0.250
Pb  0.750  0.750  0.750
Se  0.500  0.500  0.500

***

No. 2
The following is a PBE calculation of a geometry-optimized Fe2PbSe structure, from the Alexandria database.

Values from the calculation:
E_form (uncorrected)   0.38 eV/atom
Space group   Cmmm
Crystal system   orthorhombic
Total DFT energy (no corrections)   -5.6446 eV per atom

abc: 3.216 3.216 6.787
angles: 90.00 90.00 90.15
Fractional coordinates of all 4 atoms:
Fe  0.000  0.000  0.185
Fe  0.000  0.000  0.815
Pb  0.500  0.500  0.500
Se  0.500  0.500  0.000

***

No. 3
The following is a PBE calculation of a geometry-optimized FePbSe structure, from the Alexandria database.

Values from the calculation:
E_form (uncorrected)   0.10 eV/atom
Space group   P3m1
Crystal system   trigonal
Total DFT energy (no corrections)   -5.1210 eV per atom

abc: 4.133 4.133 4.465
angles: 90.00 90.00 120.00
Fractional coordinates of all 3 atoms:
Fe  0.000  0.000  0.000
Pb  0.667  0.333  0.499
Se  0.333  0.667  0.999

***

No. 4
The following is a PBE calculation of a geometry-optimized FePb2Se structure, from the Alexandria database.

Values from the calculation:
E_form (uncorrected)   0.34 eV/atom
Space group   R-3m
Crystal system   trigonal
Total DFT energy (no corrections)   -4.5057 eV per atom

abc: 7.890 7.890 7.890
angles: 28.44 28.44 28.44
Fractional coordinates of all 4 atoms:
Fe  0.000  0.000  0.000
Pb  0.256  0.256  0.256
Pb  0.744  0.744  0.744
Se  0.500  0.500  0.500

***

No. 5
The following is a PBE calculation of a geometry-optimized VFePb2Se structure, from the Alexandria database.

Values from the calculation:
E_form (uncorrected)   0.42 eV/atom
Space group   P4/mmm
Crystal system   tetragonal
Total DFT energy (no corrections)   -5.2719 eV per atom

abc: 5.109 5.109 4.413
angles: 90.00 90.00 90.00
Fractional coordinates of all 5 atoms:
V  0.000  0.000  0.000
Fe  0.000  0.000  0.500
Pb  0.000  0.500  0.500
Pb  0.500  0.000  0.500
Se  0.500  0.500  0.000

***

No. 6
The following is a PBE calculation of a geometry-optimized FeSi2Pb structure, from the Alexandria database.

Values from the calculation:
E_form (uncorrected)   0.72 eV/atom
Space group   P4/mmm
Crystal system   tetragonal
Total DFT energy (no corrections)   -5.0311 eV per atom

abc: 3.779 3.779 5.053
angles: 90.00 90.00 90.00
Fractional coordinates of all 4 atoms:
Fe  0.000  0.000  0.000
Si  0.000  0.500  0.500
Si  0.500  0.000  0.500
Pb  0.500  0.500  0.000

***

No. 7
The following is a PBE calculation of a geometry-optimized FeSi2Pb structure, from the Alexandria database.

Values from the calculation:
E_form (uncorrected)   0.11 eV/atom
Space group   Cm
Crystal system   monoclinic
Total DFT energy (no corrections)   -5.6419 eV per atom

abc: 3.865 3.865 6.281
angles: 107.80 107.80 60.01
Fractional coordinates of all 4 atoms:
Fe  0.000  0.000  0.000
Si  0.359  0.359  0.078
Si  0.626  0.626  0.876
Pb  0.826  0.826  0.477

***

No. 8
The following is a PBE calculation of a geometry-optimized FeSi2Pb structure, from the Alexandria database.

Values from the calculation:
E_form (uncorrected)   0.26 eV/atom
Space group   Amm2
Crystal system   orthorhombic
Total DFT energy (no corrections)   -5.4929 eV per atom

abc: 3.511 6.171 6.171
angles: 33.02 90.00 90.00
Fractional coordinates of all 4 atoms:
Fe  0.000  0.000  0.000
Si  0.000  0.366  0.366
Si  0.500  0.866  0.866
Pb  0.500  0.626  0.626